PBEsol Hf2ZnGeBr, relaxed; space group = No. 123; electronic total energy = -5.04 eV/atom; magnetic moment = 0.0 μB/f.u.; formation energy (no corrections) = 0.8379 eV per atom; crystal system = tetragonal
1.0
5.032 0.000 0.000
0.000 5.032 0.000
0.000 0.000 5.067
Hf Zn Ge Br
2 1 1 1
direct
0.000 0.500 0.000 Hf
0.500 0.000 0.000 Hf
0.000 0.000 0.500 Zn
0.500 0.500 0.000 Ge
0.500 0.500 0.500 Br

***

PBEsol LaY, relaxed; space group = No. 12; electronic total energy = -6.05 eV/atom; magnetic moment = 0.0 μB/f.u.; formation energy from the elements = 5.7 kJ/mol of formula units; energy relative to the lowest polymorph listed for this composition = 29.0 meV per atom; crystal system = monoclinic
1.0
6.507 -1.831 0.000
6.507 1.831 0.000
-2.853 0.000 5.503
La Y
2 2
direct
0.125 0.125 0.301 La
0.875 0.875 0.699 La
0.372 0.372 0.199 Y
0.628 0.628 0.801 Y

***

PBEsol ScIn2Fe, relaxed; space group = No. 119; electronic total energy = -5.39 eV/atom; magnetic moment = 2.2 μB/f.u.; formation energy from the elements = -4.3 kJ/mol of formula units; crystal system = tetragonal
1.0
-2.088 2.088 4.313
2.088 -2.088 4.313
2.088 2.088 -4.313
Sc In Fe
1 2 1
direct
0.000 0.000 0.000 Sc
0.250 0.750 0.500 In
0.500 0.500 0.000 In
0.750 0.250 0.500 Fe

***

PBEsol Li2CdSb, relaxed; space group = No. 166; electronic total energy = -2.68 eV/atom; magnetic moment = 0.0 μB/f.u.; energy relative to the lowest polymorph listed for this composition = 159.7 meV per atom; formation energy (no corrections) = -0.2551 eV per atom; crystal system = trigonal
1.0
1.610 0.929 9.154
-1.610 0.929 9.154
0.000 -1.859 9.154
Li Cd Sb
2 1 1
direct
0.247 0.247 0.247 Li
0.753 0.753 0.753 Li
0.000 0.000 0.000 Cd
0.500 0.500 0.500 Sb

***

PBEsol InNi2W, relaxed; space group = No. 38; electronic total energy = -7.18 eV/atom; magnetic moment = 0.0 μB/f.u.; formation energy from the elements = 39.1 kJ/mol of formula units; crystal system = orthorhombic
1.0
4.130 0.000 0.000
0.000 1.361 4.913
0.000 -1.361 4.913
In Ni W
1 2 1
direct
0.000 0.000 0.000 In
0.000 0.263 0.263 Ni
0.500 0.410 0.410 Ni
0.500 0.681 0.681 W

***

PBEsol CaBe2Au, relaxed; space group = No. 166; electronic total energy = -3.81 eV/atom; magnetic moment = 0.0 μB/f.u.; formation energy from the elements = -113.6 kJ/mol of formula units; energy relative to the lowest polymorph listed for this composition = 0.0 meV per atom; crystal system = trigonal
1.0
1.992 1.150 5.003
-1.992 1.150 5.003
0.000 -2.300 5.003
Ca Be Au
1 2 1
direct
0.000 0.000 0.000 Ca
0.187 0.187 0.187 Be
0.813 0.813 0.813 Be
0.500 0.500 0.500 Au

***

PBEsol K2ZnTe2, relaxed; space group = No. 72; electronic total energy = -3.02 eV/atom; magnetic moment = 0.0 μB/f.u.; formation energy (no corrections) = -0.8408 eV per atom; crystal system = orthorhombic
1.0
-3.598 6.958 3.449
3.598 -6.958 3.449
3.598 6.958 -3.449
K Zn Te
4 2 4
direct
0.140 0.184 0.324 K
0.360 0.684 0.043 K
0.640 0.316 0.957 K
0.860 0.816 0.676 K
0.250 0.750 0.500 Zn
0.750 0.250 0.500 Zn
0.108 0.694 0.802 Te
0.392 0.194 0.587 Te
0.608 0.806 0.413 Te
0.892 0.306 0.198 Te

***

PBEsol LaCdBiRh2, relaxed; space group = No. 123; electronic total energy = -4.55 eV/atom; magnetic moment = 0.0 μB/f.u.; formation energy from the elements = 420.4 kJ/mol of formula units; crystal system = tetragonal
1.0
4.743 0.000 0.000
0.000 4.743 0.000
0.000 0.000 6.354
La Cd Bi Rh
1 1 1 2
direct
0.000 0.000 0.000 La
0.500 0.500 0.500 Cd
0.000 0.000 0.500 Bi
0.000 0.500 0.000 Rh
0.500 0.000 0.000 Rh

***

PBEsol Ba2MgTiGa, relaxed; space group = No. 123; electronic total energy = -2.78 eV/atom; magnetic moment = 3.1 μB/f.u.; formation energy from the elements = 362.3 kJ/mol of formula units; crystal system = tetragonal
1.0
6.366 0.000 0.000
0.000 6.366 0.000
0.000 0.000 4.802
Ba Mg Ti Ga
2 1 1 1
direct
0.000 0.500 0.000 Ba
0.500 0.000 0.000 Ba
0.000 0.000 0.000 Mg
0.500 0.500 0.500 Ti
0.000 0.000 0.500 Ga

***

PBEsol NdAl10Os2, relaxed; space group = No. 63; electronic total energy = -5.88 eV/atom; magnetic moment = 0.0 μB/f.u.; formation energy from the elements = -576.3 kJ/mol of formula units; crystal system = orthorhombic
1.0
4.546 -5.111 0.000
4.546 5.111 0.000
0.000 0.000 9.128
Nd Al Os
2 20 4
direct
0.127 0.873 0.750 Nd
0.873 0.127 0.250 Nd
0.143 0.412 0.750 Al
0.159 0.841 0.101 Al
0.159 0.841 0.399 Al
0.219 0.481 0.250 Al
0.225 0.225 0.000 Al
0.225 0.225 0.500 Al
0.377 0.623 0.549 Al
0.377 0.623 0.951 Al
0.412 0.143 0.250 Al
0.481 0.219 0.750 Al
0.519 0.781 0.250 Al
0.588 0.857 0.750 Al
0.623 0.377 0.049 Al
0.623 0.377 0.451 Al
0.775 0.775 0.000 Al
0.775 0.775 0.500 Al
0.781 0.519 0.750 Al
0.841 0.159 0.601 Al
0.841 0.159 0.899 Al
0.857 0.588 0.250 Al
0.000 0.500 0.000 Os
0.000 0.500 0.500 Os
0.500 0.000 0.000 Os
0.500 0.000 0.500 Os

***

PBEsol TiSe2Cl, relaxed; space group = No. 122; electronic total energy = -4.90 eV/atom; magnetic moment = 0.0 μB/f.u.; energy relative to the lowest polymorph listed for this composition = 0.0 meV per atom; formation energy (no corrections) = -0.3954 eV per atom; crystal system = tetragonal
1.0
-3.231 3.231 5.276
3.231 -3.231 5.276
3.231 3.231 -5.276
Ti Se Cl
2 4 2
direct
0.000 0.000 0.000 Ti
0.750 0.250 0.500 Ti
0.053 0.125 0.428 Se
0.375 0.947 0.072 Se
0.697 0.625 0.572 Se
0.875 0.303 0.928 Se
0.250 0.750 0.500 Cl
0.500 0.500 0.000 Cl